Density functional theory data (PBE) for AgMoIr2 after structural relaxation.

a = 2.7269 Å, b = 2.7269 Å, c = 9.6585 Å
α = 90.00°, β = 90.00°, γ = 118.03°
With the nearest neighbours (Å) after each atom.
Fractional coordinates of all 4 atoms:
1 Ag 0.0000 0.0000 0.0000  6 Ag 2.73-2.81, 2 Ir 2.86, 2 Mo 2.92
2 Mo 0.5000 0.5000 0.2648  2 Ir 2.66, 6 Mo 2.73-2.81, 2 Ag 2.92
3 Ir 0.0000 0.0000 0.4987  2 Mo 2.66, 8 Ir 2.73-2.81
4 Ir 0.5000 0.5000 0.7423  8 Ir 2.73-2.81, 2 Ag 2.86

Output
- Magnetic moment: 0.0 μB/f.u.
- E above lowest polymorph: 135.2 kJ/mol of formula units
- Formation enthalpy at 0 K: 1.44 eV/f.u.
- D(E_F): 4.3 states/eV/cell